No. 1
Density functional theory data (GGA-PBE) for crystalline TbY4In3 at its relaxed geometry.

- energy relative to the elements (eV/atom) = -0.374
- DOS at the Fermi energy (states/eV per atom) = 0.7516
- space-group type = P4/mmm

Lattice parameters (Å, degrees): 4.940 4.940 9.115 90.00 90.00 90.00
Sites, in units of the cell vectors:
Tb  0.000  0.000  0.000
Y  0.000  0.500  0.264
Y  0.000  0.500  0.736
Y  0.500  0.000  0.264
Y  0.500  0.000  0.736
In  0.000  0.000  0.500
In  0.500  0.500  0.000
In  0.500  0.500  0.500

***

No. 2
Density functional theory data (GGA-PBE) for crystalline Tb2Y3In2 at its relaxed geometry.

- energy relative to the elements (eV/atom) = -0.175
- excess energy over the best structure of this formula in the dataset (kcal/mol of atoms) = 2.556
- DOS at the Fermi energy (states/eV per atom) = 0.8677
- space-group type = Cmmm

Lattice parameters (Å, degrees): 12.171 12.171 3.450 90.00 90.00 156.81
Sites, in units of the cell vectors:
Tb  0.215  0.785  0.000
Tb  0.785  0.215  0.000
Y  0.359  0.641  0.500
Y  0.500  0.500  0.500
Y  0.641  0.359  0.500
In  0.072  0.928  0.000
In  0.928  0.072  0.000

***

No. 3
Density functional theory data (GGA-PBE) for crystalline Tb2Y5In at its relaxed geometry.

- energy relative to the elements (eV/atom) = -0.079
- DOS at the Fermi energy (states/eV per atom) = 1.3905
- space-group type = I4/mmm

Lattice parameters (Å, degrees): 7.049 7.049 7.049 120.08 120.08 89.86
Sites, in units of the cell vectors:
Tb  0.000  0.500  0.500
Tb  0.500  0.000  0.500
Y  0.000  0.000  0.000
Y  0.000  0.000  0.500
Y  0.000  0.500  0.000
Y  0.500  0.000  0.000
Y  0.500  0.500  0.500
In  0.500  0.500  0.000

***

No. 4
Density functional theory data (GGA-PBE) for crystalline TbYIn3 at its relaxed geometry.

- energy relative to the elements (eV/atom) = 0.097
- DOS at the Fermi energy (states/eV per atom) = 0.8342
- space-group type = I-4m2

Lattice parameters (Å, degrees): 11.725 11.725 11.725 151.22 151.22 41.16
Sites, in units of the cell vectors:
Tb  0.082  0.082  0.000
Tb  0.918  0.918  0.000
Y  0.250  0.750  0.500
Y  0.500  0.500  0.000
In  0.372  0.125  0.753
In  0.372  0.619  0.247
In  0.381  0.628  0.753
In  0.506  0.006  0.500
In  0.875  0.628  0.247
In  0.994  0.494  0.500

***

No. 5
Density functional theory data (GGA-PBE) for crystalline Tb7YIn2 at its relaxed geometry.

- energy relative to the elements (eV/atom) = 0.343
- DOS at the Fermi energy (states/eV per atom) = 2.1303
- space-group type = Cmmm

Lattice parameters (Å, degrees): 9.036 9.036 5.388 90.00 90.00 119.09
Sites, in units of the cell vectors:
Tb  0.000  0.000  0.000
Tb  0.198  0.440  0.000
Tb  0.273  0.727  0.500
Tb  0.440  0.198  0.000
Tb  0.560  0.802  0.000
Tb  0.727  0.273  0.500
Tb  0.802  0.560  0.000
Y  0.500  0.500  0.500
In  0.196  0.804  0.000
In  0.804  0.196  0.000

***

No. 6
Density functional theory data (GGA-PBE) for crystalline Tb3YIn4 at its relaxed geometry.

- energy relative to the elements (eV/atom) = -0.483
- excess energy over the best structure of this formula in the dataset (kcal/mol of atoms) = 0.000
- DOS at the Fermi energy (states/eV per atom) = 0.6062
- space-group type = P4/mmm

Lattice parameters (Å, degrees): 3.772 3.772 15.105 90.00 90.00 90.00
Sites, in units of the cell vectors:
Tb  0.000  0.000  0.000
Tb  0.000  0.000  0.250
Tb  0.000  0.000  0.750
Y  0.000  0.000  0.500
In  0.500  0.500  0.125
In  0.500  0.500  0.376
In  0.500  0.500  0.624
In  0.500  0.500  0.875